Entry 1:
Entry from Alexandria: a relaxed AcPaBi crystal (PBE).

```
3
Lattice="4.151 0.000 0.000 0.000 4.151 0.000 -2.076 -2.076 5.919" Properties=species:S:1:pos:R:3 pbc="T T T"
Pa 0.000 0.000 0.324
Bi 2.076 2.076 1.742
Ac 0.000 0.000 3.852
```

Values from the calculation:
Energy relative to the lowest polymorph listed for this composition (eV/atom): 0.320
ΔH_f (0 K) (eV per formula unit): 0.04
E (eV/atom): -5.814
DOS at the Fermi energy (states/eV/f.u.): 6.80

Entry 2:
Entry from Alexandria: a relaxed AcPa2Bi crystal (PBE).

```
4
Lattice="5.191 0.000 0.000 0.000 4.761 0.000 0.000 0.000 4.761" Properties=species:S:1:pos:R:3 pbc="T T T"
Pa 0.000 0.000 2.381
Pa 0.000 2.381 0.000
Ac 2.596 2.381 2.381
Bi 2.596 0.000 0.000
```

Values from the calculation:
ΔH_f (0 K) (eV per formula unit): 0.43
E (eV/atom): -6.639
DOS at the Fermi energy (states/eV/f.u.): 9.55

Entry 3:
Entry from Alexandria: a relaxed AcPmPaBi crystal (PBE).

```
4
Lattice="-1.688 -5.178 1.660 2.888 -2.774 4.048 -2.308 -0.725 5.154" Properties=species:S:1:pos:R:3 pbc="T T T"
Pm 0.000 0.000 0.000
Ac -0.554 -4.339 5.431
Bi -0.277 -2.169 2.716
Pa -0.832 -6.508 8.147
```

Values from the calculation:
ΔH_f (0 K) (eV per formula unit): 0.71
E (eV/atom): -5.382
DOS at the Fermi energy (states/eV/f.u.): 8.49

Entry 4:
Entry from Alexandria: a relaxed AcPaSnBi crystal (PBE).

```
4
Lattice="-4.817 -1.688 2.330 -0.242 -1.028 5.510 -2.846 3.460 3.377" Properties=species:S:1:pos:R:3 pbc="T T T"
Pa 0.000 0.000 0.000
Bi -5.928 0.558 8.413
Ac -3.952 0.372 5.609
Sn -1.976 0.186 2.804
```

Values from the calculation:
ΔH_f (0 K) (eV per formula unit): -0.93
E (eV/atom): -5.605
DOS at the Fermi energy (states/eV/f.u.): 7.84

Entry 5:
Entry from Alexandria: a relaxed AcPaBiTe crystal (PBE).

```
4
Lattice="5.606 0.000 0.000 2.803 4.855 0.000 2.803 1.618 4.577" Properties=species:S:1:pos:R:3 pbc="T T T"
Bi 8.408 4.855 3.433
Ac 5.606 3.236 2.288
Te 2.803 1.618 1.144
Pa 0.000 0.000 0.000
```

Values from the calculation:
Uncorrected formation energy (kJ per mole of atoms): -59
E (eV/atom): -5.769
DOS at the Fermi energy (states/eV/f.u.): 6.17

Entry 6:
Entry from Alexandria: a relaxed AcPaZnBi crystal (PBE).

```
4
Lattice="5.516 0.000 0.000 2.758 4.777 0.000 2.758 1.592 4.503" Properties=species:S:1:pos:R:3 pbc="T T T"
Pa 8.273 4.777 3.378
Ac 2.758 1.592 1.126
Bi 0.000 0.000 0.000
Zn 5.516 3.184 2.252
```

Values from the calculation:
ΔH_f (0 K) (eV per formula unit): 0.02
E (eV/atom): -4.684
DOS at the Fermi energy (states/eV/f.u.): 9.36

Entry 7:
Entry from Alexandria: a relaxed Ac8BiPb2 crystal (PBE).

```
11
Lattice="-1.427 -4.710 2.468 -0.588 -3.536 -7.087 10.989 0.363 0.904" Properties=species:S:1:pos:R:3 pbc="T T T"
Bi -0.713 -2.355 1.234
Pb 5.637 -4.435 0.935
Pb 3.337 -3.447 -4.649
Ac 7.994 -3.439 -1.942
Ac 4.146 -2.065 -1.544
Ac 0.980 -4.444 -1.773
Ac 4.828 -5.818 -2.171
Ac -0.014 -2.771 -5.296
Ac 2.589 -3.032 1.852
Ac 8.988 -5.111 1.582
Ac 6.385 -4.851 -5.567
```

Values from the calculation:
ΔH_f (0 K) (eV per formula unit): -3.22
E (eV/atom): -4.307
DOS at the Fermi energy (states/eV/f.u.): 13.54

Entry 8:
Entry from Alexandria: a relaxed Ac10Bi3Pb3 crystal (PBE).

```
16
Lattice="7.239 0.000 0.000 0.000 8.689 -5.017 0.000 0.000 10.033" Properties=species:S:1:pos:R:3 pbc="T T T"
Ac 3.619 0.000 7.580
Ac 5.432 5.793 0.000
Ac 0.000 6.566 3.791
Ac 1.806 5.793 0.000
Ac 1.806 2.896 5.017
Ac 3.619 2.125 1.227
Ac 0.000 0.000 2.452
Ac 5.432 2.896 5.017
Ac 3.619 6.564 -3.790
Ac 0.000 2.123 -1.226
Pb 3.619 5.287 3.052
Pb 3.619 3.402 -1.964
Pb 3.619 0.000 3.928
Bi 0.000 3.387 1.956
Bi 0.000 5.302 -3.061
Bi 0.000 0.000 6.122
```

Values from the calculation:
ΔH_f (0 K) (eV per formula unit): -9.65
E (eV/atom): -4.594
DOS at the Fermi energy (states/eV/f.u.): 16.54

Entry 9:
Entry from Alexandria: a relaxed Ac3Bi2Pb crystal (PBE).

```
6
Lattice="-2.437 2.437 10.343 2.437 -2.437 10.343 2.437 2.437 -10.343" Properties=species:S:1:pos:R:3 pbc="T T T"
Ac 0.000 0.000 17.226
Ac 0.000 0.000 10.343
Ac 0.000 0.000 3.461
Bi 0.000 0.000 6.889
Bi 0.000 0.000 13.798
Pb 0.000 0.000 0.000
```

Values from the calculation:
ΔH_f (0 K) (eV per formula unit): -4.77
E (eV/atom): -4.761
DOS at the Fermi energy (states/eV/f.u.): 3.96

Entry 10:
Entry from Alexandria: a relaxed AcBi4Pb7 crystal (PBE).

```
12
Lattice="6.626 0.000 0.000 3.313 9.148 0.647 3.313 0.794 6.890" Properties=species:S:1:pos:R:3 pbc="T T T"
Pb 3.313 0.428 3.271
Pb 6.626 6.613 6.028
Pb 9.940 6.290 2.857
Pb 6.626 3.330 1.509
Pb 9.940 9.515 4.266
Pb 3.313 3.653 4.680
Pb 3.313 0.000 0.000
Ac 0.000 0.000 0.000
Bi 3.313 3.148 1.330
Bi 6.626 3.575 4.894
Bi 6.626 6.367 2.642
Bi 9.940 6.795 6.207
```

Values from the calculation:
ΔH_f (0 K) (eV per formula unit): 0.08
E (eV/atom): -3.792
DOS at the Fermi energy (states/eV/f.u.): 7.38

Entry 11:
Entry from Alexandria: a relaxed Ac2BiPb crystal (PBE).

```
4
Lattice="-2.958 -1.383 -2.470 -2.447 -0.549 3.237 -3.028 8.109 -0.913" Properties=species:S:1:pos:R:3 pbc="T T T"
Ac -0.718 1.922 -0.216
Ac -2.310 6.187 -0.696
Pb -4.217 3.088 -0.073
Bi -2.703 -0.966 0.383
```

Values from the calculation:
Energy relative to the lowest polymorph listed for this composition (eV/atom): 0.146
ΔH_f (0 K) (eV per formula unit): -2.45
E (eV/atom): -4.564
DOS at the Fermi energy (states/eV/f.u.): 3.11

Entry 12:
Entry from Alexandria: a relaxed Ac8BiPb5 crystal (PBE).

```
14
Lattice="8.422 0.000 -2.937 -4.183 7.288 -2.991 -0.056 0.000 8.919" Properties=species:S:1:pos:R:3 pbc="T T T"
Pb 3.688 6.390 -2.960
Pb -1.562 2.735 -0.013
Pb 4.183 0.000 2.991
Pb 2.574 0.898 7.438
Pb 3.665 4.553 1.517
Ac -2.101 5.465 -2.480
Ac 3.612 2.815 4.816
Ac 1.542 4.473 -1.130
Ac 1.503 6.492 3.316
Ac -2.123 5.471 1.942
Ac 1.157 1.823 1.805
Ac 5.334 1.817 0.354
Ac 7.806 0.795 3.342
Bi -0.028 3.644 4.460
```

Values from the calculation:
ΔH_f (0 K) (eV per formula unit): -8.45
E (eV/atom): -4.553
DOS at the Fermi energy (states/eV/f.u.): 8.09